1.
Here is KLi5Tl7 after structural relaxation from Alexandria. Energies are from PBE.

Properties
Space group: Imm2, No. 44
Energy of formation: -0.1616 eV/atom
ρ: 7.8 g cm⁻³

Cell: 7.909 7.909 7.909 Å, 135.51 97.62 98.86°
Element x y z (fractional)
1 K 0.000 0.000 0.000
2 Li 0.487 0.499 0.501
3 Li 0.487 0.987 0.988
4 Li 0.766 0.266 0.500
5 Li 0.998 0.499 0.012
6 Li 0.998 0.987 0.499
7 Tl 0.191 0.481 0.709
8 Tl 0.228 0.728 0.500
9 Tl 0.347 0.347 0.000
10 Tl 0.359 0.013 0.346
11 Tl 0.657 0.657 0.000
12 Tl 0.667 0.013 0.654
13 Tl 0.772 0.481 0.291

***

2.
Here is Th2Al3GaPd4 after structural relaxation from Alexandria. Energies are from PBE.

Properties
Space group: P-4m2, No. 115
Energy of formation: -0.8244 eV/atom
ρ: 8.9 g cm⁻³

Cell: 4.309 4.309 10.400 Å, 90.00 90.00 90.00°
Element x y z (fractional)
1 Th 0.000 0.500 0.246
2 Th 0.500 0.000 0.754
3 Al 0.000 0.000 0.000
4 Al 0.000 0.500 0.627
5 Al 0.500 0.000 0.373
6 Ga 0.500 0.500 0.000
7 Pd 0.000 0.000 0.500
8 Pd 0.000 0.500 0.865
9 Pd 0.500 0.000 0.135
10 Pd 0.500 0.500 0.500

***

3.
Here is CoPtPb2 after structural relaxation from Alexandria. Energies are from PBE.

Properties
Space group: C2/m, No. 12
Energy of formation: 0.3546 eV/atom
ρ: 13.2 g cm⁻³

Cell: 3.914 3.914 6.722 Å, 106.61 106.61 60.01°
Element x y z (fractional)
1 Co 0.000 0.000 0.000
2 Pt 0.500 0.500 0.500
3 Pb 0.256 0.256 0.767
4 Pb 0.744 0.744 0.233

***

4.
Here is Rb2TbCd3F12 after structural relaxation from Alexandria. Energies are from PBE.

Properties
Space group: R-3m, No. 166
Formation energy (no corrections): -2606 meV per atom
ρ: 3.9 g cm⁻³

Cell: 8.246 8.246 8.246 Å, 57.88 57.88 57.88°
Element x y z (fractional)
1 Rb 0.100 0.100 0.100
2 Rb 0.900 0.900 0.900
3 Tb 0.500 0.500 0.500
4 Cd 0.000 0.500 0.500
5 Cd 0.500 0.000 0.500
6 Cd 0.500 0.500 0.000
7 F 0.171 0.171 0.592
8 F 0.171 0.592 0.171
9 F 0.176 0.573 0.573
10 F 0.408 0.829 0.829
11 F 0.427 0.427 0.824
12 F 0.427 0.824 0.427
13 F 0.573 0.176 0.573
14 F 0.573 0.573 0.176
15 F 0.592 0.171 0.171
16 F 0.824 0.427 0.427
17 F 0.829 0.408 0.829
18 F 0.829 0.829 0.408